# Mn2Hg2Os

A geometry-optimized Mn2Hg2Os structure (GGA-PBE, Alexandria via LeMat-Bulk).

Cell lengths 3.0860, 3.0860, 8.9241 Å; angles 80.04, 80.04, 90.00 degrees
Last column: nearest neighbours and their distance in Å.
Sites, in units of the cell vectors:
Mn  0.7500  0.2500  0.5000  4 Mn 2.18
Mn  0.2500  0.7500  0.5000  4 Mn 2.18
Os  0.0000  0.0000  0.0000  8 Hg 2.91, 4 Os 3.09
Hg  0.3885  0.3885  0.2230  4 Mn 2.85, 4 Os 2.91, 4 Hg 3.09
Hg  0.6115  0.6115  0.7770  4 Mn 2.85, 4 Os 2.91, 4 Hg 3.09

Computed properties:
The energy relative to the elements comes out at 487 kJ/mol of formula units. Its total magnetization is 1.06 μB/f.u. Its space group is I4/mmm (139). As for the energy relative to the lowest polymorph listed for this composition: 0.2106 eV/atom. The final energy comes out at -5.024 eV/atom. The calculation puts the density of states at the Fermi level at 6.14 states/eV/cell.